1.
Compound: TlZnBi3
Source: Alexandria
Functional: meta-GGA SCAN
Structure: PBEsol geometry

a = 5.778 Å, b = 5.778 Å, c = 5.778 Å
α = 90.00°, β = 90.00°, γ = 90.00°
Atoms (fractional coordinates):
Bi 0.000 0.500 0.000
Zn 0.500 0.500 0.500
Bi 0.500 0.000 0.000
Bi 0.000 0.000 0.500
Tl 0.000 0.000 0.000

Computed properties:
Space-group type: Pm-3m
V in Å³ per atom: 38.58
DOS(E_F) in states/eV/cell: 5.14
Calculated density in g/cm³: 7.72
Crystal system: cubic
DFT total energy in eV per atom: -63.30

***

2.
Compound: Tl2Zn2Bi
Source: Alexandria
Functional: meta-GGA SCAN
Structure: PBEsol geometry

a = 4.617 Å, b = 7.269 Å, c = 7.269 Å
α = 90.00°, β = 90.00°, γ = 90.00°
Atoms (fractional coordinates):
Tl 0.500 0.178 0.678
Zn 0.000 0.379 0.879
Zn 0.000 0.879 0.621
Bi 0.000 0.000 0.000
Bi 0.000 0.500 0.500
Tl 0.500 0.322 0.178
Tl 0.500 0.822 0.322
Zn 0.000 0.621 0.121
Zn 0.000 0.121 0.379
Tl 0.500 0.678 0.822

Computed properties:
Space-group type: P4/mbm
V in Å³ per atom: 24.40
DOS(E_F) in states/eV/cell: 3.63
Calculated density in g/cm³: 10.19
Crystal system: tetragonal
DFT total energy in eV per atom: -49.95